(1)
Density functional theory data (PBE) for crystalline SmCrP2N6 at its relaxed geometry.

Summary:
electronic total energy = -8.01 eV/atom
crystal system = monoclinic
spin magnetization = 4.01 μB per cell

The structure in CIF format:
```
data_SmCrP2N6
_symmetry_space_group_name_H-M 'C 1 2/c 1'
_symmetry_Int_Tables_number 15
_symmetry_space_group_name_Hall '-C 2yc'
_cell_length_a 10.108
_cell_length_b 9.860
_cell_length_c 5.635
_cell_angle_alpha 90.00
_cell_angle_beta 113.48
_cell_angle_gamma 90.00
loop_
_atom_site_label
_atom_site_type_symbol
_atom_site_fract_x
_atom_site_fract_y
_atom_site_fract_z
_atom_site_occupancy
Sm1 Sm 0.000 0.121 0.250 1
Cr1 Cr 0.000 0.224 0.750 1
P1 P 0.200 0.428 0.177 1
N1 N 0.100 0.292 0.062 1
N2 N 0.123 0.104 0.706 1
N3 N 0.175 0.467 0.438 1
```

---

(2)
Density functional theory data (PBE) for crystalline Pu2H5 at its relaxed geometry.

Summary:
electronic total energy = -6.88 eV/atom
crystal system = orthorhombic
spin magnetization = 44.00 μB per cell

The structure in CIF format:
```
data_Pu2H5
_symmetry_space_group_name_H-M 'I b a m'
_symmetry_Int_Tables_number 72
_symmetry_space_group_name_Hall '-I 2 2c'
_cell_length_a 5.637
_cell_length_b 11.047
_cell_length_c 4.611
_cell_angle_alpha 90.00
_cell_angle_beta 90.00
_cell_angle_gamma 90.00
loop_
_atom_site_label
_atom_site_type_symbol
_atom_site_fract_x
_atom_site_fract_y
_atom_site_fract_z
_atom_site_occupancy
Pu1 Pu 0.242 0.123 0.000 1
H1 H 0.000 0.257 0.250 1
H2 H 0.000 0.500 0.250 1
H3 H 0.162 0.083 0.500 1
```